(1)
First-principles (PBE) data for Co2Re2Ir after structural relaxation, as listed in Alexandria via LeMat-Bulk.

Output
Crystal system: tetragonal

Unit cell a=6.9528 b=6.9528 c=2.7225 alpha=90.00 beta=90.00 gamma=90.00
Closest atoms and distances in Å follow each position.
Space group P4/mbm (No. 127)
Asymmetric unit:
Co: 0.1215 0.3785 0.0000 x4  1 Co 2.39, 6 Re 2.43-2.49
Re: 0.1744 0.6744 0.5000 x4  6 Co 2.43-2.49
Ir: 0.0000 0.0000 0.0000 x2  2 Ir 2.72, 4 Co 2.76, 8 Re 2.91

(2)
First-principles (PBE) data for CoReIr2 after structural relaxation, as listed in Alexandria via LeMat-Bulk.

Output
Crystal system: orthorhombic

Unit cell a=2.7168 b=3.7839 c=5.3622 alpha=90.00 beta=90.00 gamma=90.00
Closest atoms and distances in Å follow each position.
Space group Pmmm (No. 47)
Asymmetric unit:
Co: 0.0000 0.0000 0.0000 x1  8 Ir 2.67, 2 Re 2.68, 2 Co 2.72
Re: 0.0000 0.0000 0.5000 x1  2 Co 2.68, 8 Ir 2.70, 2 Re 2.72
Ir: 0.5000 0.5000 0.2441 x2  4 Ir 2.62-2.74, 4 Co 2.67, 4 Re 2.70

(3)
First-principles (PBE) data for CoReIr2 after structural relaxation, as listed in Alexandria via LeMat-Bulk.

Output
Crystal system: cubic

Unit cell a=6.0791 b=6.0791 c=6.0791 alpha=90.00 beta=90.00 gamma=90.00
Closest atoms and distances in Å follow each position.
Space group Fm-3m (No. 225)
Asymmetric unit:
Co: 0.0000 0.0000 0.0000 x4  8 Ir 2.63
Re: 0.0000 0.0000 0.5000 x4  8 Ir 2.63
Ir: 0.2500 0.2500 0.2500 x8  4 Co 2.63, 4 Re 2.63

These records have formation energy values of 0.11 -0.10 0.37 eV per atom, in the order they appear.